# 1
# PBE-GGA CsCd3Pt, optimized geometry
data_CsCd3Pt
_space_group_name_H-M_alt 'P 1'
_space_group_IT_number 1
_cell_length_a 10.436
_cell_length_b 10.436
_cell_length_c 10.436
_cell_angle_alpha 60.00
_cell_angle_beta 60.00
_cell_angle_gamma 60.00
loop_
_space_group_symop_operation_xyz
'x,y,z'
loop_
_atom_site_label
_atom_site_type_symbol
_atom_site_fract_x
_atom_site_fract_y
_atom_site_fract_z
_atom_site_occupancy
Cs1 Cs 0.125 0.625 0.125 1
Cd1 Cd 0.913 0.587 0.587 1
Cd2 Cd 0.913 0.913 0.587 1
Cd3 Cd 0.913 0.587 0.913 1
Cd4 Cd 0.663 0.337 0.663 1
Cd5 Cd 0.587 0.913 0.913 1
Cs2 Cs 0.125 0.125 0.625 1
Cd6 Cd 0.587 0.587 0.913 1
Cd7 Cd 0.337 0.663 0.337 1
Pt1 Pt 0.625 0.625 0.125 1
Cd8 Cd 0.663 0.663 0.337 1
Pt2 Pt 0.625 0.125 0.625 1
Pt3 Pt 0.625 0.625 0.625 1
Cd9 Cd 0.337 0.663 0.663 1
Cd10 Cd 0.663 0.337 0.337 1
Cs3 Cs 0.125 0.125 0.125 1
Cd11 Cd 0.337 0.337 0.663 1
Cd12 Cd 0.587 0.913 0.587 1
Cs4 Cs 0.625 0.125 0.125 1
Pt4 Pt 0.125 0.625 0.625 1
# - SG: Fd-3m
# - ΔE_f: -0.6 eV per formula unit
# - Mass density: 5.50 g/cm³
# - Excess energy over the best structure of this formula in the dataset: 121.1 meV/atom
# - DOS(E_F): 3.98 states/eV/f.u.


# 2
# PBE-GGA CsCd3Pt, optimized geometry
data_CsCd3Pt
_space_group_name_H-M_alt 'P 1'
_space_group_IT_number 1
_cell_length_a 5.384
_cell_length_b 5.384
_cell_length_c 11.012
_cell_angle_alpha 90.00
_cell_angle_beta 90.00
_cell_angle_gamma 120.00
loop_
_space_group_symop_operation_xyz
'x,y,z'
loop_
_atom_site_label
_atom_site_type_symbol
_atom_site_fract_x
_atom_site_fract_y
_atom_site_fract_z
_atom_site_occupancy
Cd1 Cd 0.667 0.333 0.560 1
Pt1 Pt 0.000 0.000 0.000 1
Cd2 Cd 0.000 0.000 0.750 1
Cd3 Cd 0.333 0.667 0.440 1
Cd4 Cd 0.667 0.333 0.940 1
Cs1 Cs 0.667 0.333 0.250 1
Cs2 Cs 0.333 0.667 0.750 1
Cd5 Cd 0.333 0.667 0.060 1
Cd6 Cd 0.000 0.000 0.250 1
Pt2 Pt 0.000 0.000 0.500 1
# - SG: P6_3/mmc
# - ΔE_f: 0.5 eV per formula unit
# - Mass density: 7.99 g/cm³
# - Excess energy over the best structure of this formula in the dataset: 340.0 meV/atom
# - DOS(E_F): 1.62 states/eV/f.u.


# 3
# PBE-GGA CsCd3Pt, optimized geometry
data_CsCd3Pt
_space_group_name_H-M_alt 'P 1'
_space_group_IT_number 1
_cell_length_a 4.200
_cell_length_b 9.068
_cell_length_c 9.068
_cell_angle_alpha 141.55
_cell_angle_beta 90.00
_cell_angle_gamma 90.00
loop_
_space_group_symop_operation_xyz
'x,y,z'
loop_
_atom_site_label
_atom_site_type_symbol
_atom_site_fract_x
_atom_site_fract_y
_atom_site_fract_z
_atom_site_occupancy
Cs1 Cs 0.500 0.097 0.903 1
Cd1 Cd 0.500 0.133 0.335 1
Cd2 Cd 0.500 0.665 0.867 1
Pt1 Pt 0.000 0.446 0.554 1
Cd3 Cd 0.000 0.287 0.713 1
# - SG: Amm2
# - ΔE_f: 0.4 eV per formula unit
# - Mass density: 5.14 g/cm³
# - Excess energy over the best structure of this formula in the dataset: 320.4 meV/atom
# - DOS(E_F): 2.44 states/eV/f.u.


# 4
# PBE-GGA Cs3Cd6Pt, optimized geometry
data_Cs3Cd6Pt
_space_group_name_H-M_alt 'P 1'
_space_group_IT_number 1
_cell_length_a 8.091
_cell_length_b 8.091
_cell_length_c 13.537
_cell_angle_alpha 91.83
_cell_angle_beta 91.83
_cell_angle_gamma 109.85
loop_
_space_group_symop_operation_xyz
'x,y,z'
loop_
_atom_site_label
_atom_site_type_symbol
_atom_site_fract_x
_atom_site_fract_y
_atom_site_fract_z
_atom_site_occupancy
Cd1 Cd 0.174 0.515 0.523 1
Cs1 Cs 0.500 0.500 0.000 1
Cs2 Cs 0.925 0.575 0.750 1
Cs3 Cs 0.000 0.000 0.500 1
Cd2 Cd 0.359 0.359 0.677 1
Cs4 Cs 0.425 0.075 0.250 1
Cs5 Cs 0.075 0.425 0.250 1
Cd3 Cd 0.674 0.014 0.022 1
Cs6 Cs 0.575 0.925 0.750 1
Cd4 Cd 0.985 0.326 0.977 1
Cd5 Cd 0.514 0.174 0.522 1
Cd6 Cd 0.141 0.141 0.823 1
Cd7 Cd 0.326 0.986 0.978 1
Cd8 Cd 0.015 0.674 0.023 1
Cd9 Cd 0.486 0.826 0.478 1
Cd10 Cd 0.826 0.485 0.477 1
Pt1 Pt 0.500 0.500 0.500 1
Cd11 Cd 0.859 0.859 0.177 1
Cd12 Cd 0.641 0.641 0.323 1
Pt2 Pt 0.000 0.000 0.000 1
# - SG: C2/m
# - ΔE_f: -0.9 eV per formula unit
# - Mass density: 5.06 g/cm³
# - DOS(E_F): 5.23 states/eV/f.u.


# 5
# PBE-GGA CsCd2Pt2, optimized geometry
data_CsCd2Pt2
_space_group_name_H-M_alt 'P 1'
_space_group_IT_number 1
_cell_length_a 8.567
_cell_length_b 8.567
_cell_length_c 3.081
_cell_angle_alpha 90.00
_cell_angle_beta 90.00
_cell_angle_gamma 90.00
loop_
_space_group_symop_operation_xyz
'x,y,z'
loop_
_atom_site_label
_atom_site_type_symbol
_atom_site_fract_x
_atom_site_fract_y
_atom_site_fract_z
_atom_site_occupancy
Pt1 Pt 0.843 0.657 0.000 1
Pt2 Pt 0.343 0.843 0.000 1
Pt3 Pt 0.157 0.343 0.000 1
Cd1 Cd 0.866 0.366 0.500 1
Cd2 Cd 0.634 0.866 0.500 1
Cs1 Cs 0.000 0.000 0.000 1
Cs2 Cs 0.500 0.500 0.000 1
Cd3 Cd 0.366 0.134 0.500 1
Pt4 Pt 0.657 0.157 0.000 1
Cd4 Cd 0.134 0.634 0.500 1
# - SG: P4/mbm
# - ΔE_f: -0.4 eV per formula unit
# - Mass density: 10.98 g/cm³
# - Excess energy over the best structure of this formula in the dataset: 0.0 meV/atom
# - DOS(E_F): 1.37 states/eV/f.u.


# 6
# PBE-GGA Cs3Cd9Pt2, optimized geometry
data_Cs3Cd9Pt2
_space_group_name_H-M_alt 'P 1'
_space_group_IT_number 1
_cell_length_a 7.426
_cell_length_b 7.426
_cell_length_c 9.093
_cell_angle_alpha 90.00
_cell_angle_beta 90.00
_cell_angle_gamma 120.00
loop_
_space_group_symop_operation_xyz
'x,y,z'
loop_
_atom_site_label
_atom_site_type_symbol
_atom_site_fract_x
_atom_site_fract_y
_atom_site_fract_z
_atom_site_occupancy
Cd1 Cd 0.695 0.848 0.646 1
Pt1 Pt 0.333 0.667 0.814 1
Cs1 Cs 0.667 0.333 0.671 1
Cd2 Cd 0.305 0.152 0.354 1
Cd3 Cd 0.848 0.152 0.354 1
Cd4 Cd 0.500 0.000 0.000 1
Cd5 Cd 0.152 0.305 0.646 1
Cs2 Cs 0.000 0.000 0.000 1
Cs3 Cs 0.333 0.667 0.329 1
Cd6 Cd 0.152 0.848 0.646 1
Cd7 Cd 0.848 0.695 0.354 1
Pt2 Pt 0.667 0.333 0.186 1
Cd8 Cd 0.000 0.500 0.000 1
Cd9 Cd 0.500 0.500 0.000 1
# - SG: P-3m1
# - ΔE_f: -1.5 eV per formula unit
# - Mass density: 6.89 g/cm³
# - DOS(E_F): 5.33 states/eV/f.u.


# 7
# PBE-GGA Cs2CdPt2, optimized geometry
data_Cs2CdPt2
_space_group_name_H-M_alt 'P 1'
_space_group_IT_number 1
_cell_length_a 4.775
_cell_length_b 4.775
_cell_length_c 11.293
_cell_angle_alpha 77.80
_cell_angle_beta 77.80
_cell_angle_gamma 60.00
loop_
_space_group_symop_operation_xyz
'x,y,z'
loop_
_atom_site_label
_atom_site_type_symbol
_atom_site_fract_x
_atom_site_fract_y
_atom_site_fract_z
_atom_site_occupancy
Cd1 Cd 0.000 0.000 0.000 1
Cs1 Cs 0.424 0.424 0.728 1
Pt1 Pt 0.673 0.673 0.982 1
Cs2 Cs 0.576 0.576 0.272 1
Pt2 Pt 0.327 0.327 0.018 1
# - SG: R-3m
# - ΔE_f: -1.1 eV per formula unit
# - Mass density: 5.90 g/cm³
# - Excess energy over the best structure of this formula in the dataset: 0.0 meV/atom
# - DOS(E_F): 3.03 states/eV/f.u.


# 8
# PBE-GGA CsCd3Pt, optimized geometry
data_CsCd3Pt
_space_group_name_H-M_alt 'P 1'
_space_group_IT_number 1
_cell_length_a 3.318
_cell_length_b 7.139
_cell_length_c 7.139
_cell_angle_alpha 123.62
_cell_angle_beta 90.00
_cell_angle_gamma 90.00
loop_
_space_group_symop_operation_xyz
'x,y,z'
loop_
_atom_site_label
_atom_site_type_symbol
_atom_site_fract_x
_atom_site_fract_y
_atom_site_fract_z
_atom_site_occupancy
Pt1 Pt 0.500 0.055 0.945 1
Cs1 Cs 0.000 0.602 0.398 1
Cd1 Cd 0.500 0.090 0.350 1
Cd2 Cd 0.000 0.232 0.768 1
Cd3 Cd 0.500 0.650 0.910 1
# - SG: Amm2
# - ΔE_f: 0.1 eV per formula unit
# - Mass density: 7.84 g/cm³
# - Excess energy over the best structure of this formula in the dataset: 261.9 meV/atom
# - DOS(E_F): 2.70 states/eV/f.u.


# 9
# PBE-GGA CsCd3Pt, optimized geometry
data_CsCd3Pt
_space_group_name_H-M_alt 'P 1'
_space_group_IT_number 1
_cell_length_a 7.141
_cell_length_b 7.141
_cell_length_c 7.141
_cell_angle_alpha 90.00
_cell_angle_beta 90.00
_cell_angle_gamma 90.00
loop_
_space_group_symop_operation_xyz
'x,y,z'
loop_
_atom_site_label
_atom_site_type_symbol
_atom_site_fract_x
_atom_site_fract_y
_atom_site_fract_z
_atom_site_occupancy
Pt1 Pt 0.500 0.500 0.500 1
Cd1 Cd 0.000 0.000 0.500 1
Cs1 Cs 0.000 0.000 0.000 1
Cd2 Cd 0.000 0.500 0.000 1
Cd3 Cd 0.500 0.000 0.000 1
# - SG: Pm-3m
# - ΔE_f: 6.0 eV per formula unit
# - Mass density: 3.03 g/cm³
# - Excess energy over the best structure of this formula in the dataset: 1450.7 meV/atom
# - DOS(E_F): 138.07 states/eV/f.u.


# 10
# PBE-GGA CsCd3Pt, optimized geometry
data_CsCd3Pt
_space_group_name_H-M_alt 'P 1'
_space_group_IT_number 1
_cell_length_a 7.896
_cell_length_b 7.896
_cell_length_c 5.531
_cell_angle_alpha 90.00
_cell_angle_beta 90.00
_cell_angle_gamma 119.98
loop_
_space_group_symop_operation_xyz
'x,y,z'
loop_
_atom_site_label
_atom_site_type_symbol
_atom_site_fract_x
_atom_site_fract_y
_atom_site_fract_z
_atom_site_occupancy
Cd1 Cd 0.000 0.000 0.500 1
Cd2 Cd 0.000 0.000 0.000 1
Cd3 Cd 0.082 0.570 0.750 1
Cd4 Cd 0.918 0.430 0.250 1
Cd5 Cd 0.430 0.918 0.750 1
Cs1 Cs 0.422 0.578 0.250 1
Pt1 Pt 0.826 0.174 0.750 1
Pt2 Pt 0.174 0.826 0.250 1
Cd6 Cd 0.570 0.082 0.250 1
Cs2 Cs 0.578 0.422 0.750 1
# - SG: Cmcm
# - ΔE_f: -0.2 eV per formula unit
# - Mass density: 7.40 g/cm³
# - Excess energy over the best structure of this formula in the dataset: 217.1 meV/atom
# - DOS(E_F): 2.31 states/eV/f.u.


ΔE_f of number 1 (CsCd3Pt)? -0.6 eV per formula unit